[1]
Ta2OsRu | GGA-PBE | optimized geometry

The calculation puts the formation energy at -104 meV per atom. The crystal system is orthorhombic. The density comes out at 16.806 g cm⁻³. As for the volume: 129.1 Å³/cell. The raw total energy comes out at -11.157 eV/atom. As for the polymorph energy (0 for the lowest one): 4.95 kcal/mol of atoms.

a b c (Å): 3.308 4.620 8.446
angles (deg): 90.00 90.00 90.00
Space group Immm (No. 71)
Asymmetric unit:
Ta 0.000 0.000 0.250 (multiplicity 4)
Os 0.000 0.500 0.000 (multiplicity 2)
Ru 0.000 0.500 0.500 (multiplicity 2)

[2]
Li2CaIn | GGA-PBE | optimized geometry

The calculation puts the formation energy at -187 meV per atom. The crystal system is tetragonal. The density comes out at 2.822 g cm⁻³. As for the volume: 99.3 Å³/cell. The raw total energy comes out at -2.329 eV/atom.

a b c (Å): 3.647 3.647 7.465
angles (deg): 90.00 90.00 90.00
Space group P4mm (No. 99)
Asymmetric unit:
Li 0.000 0.000 0.000 (multiplicity 1)
Li 0.500 0.500 0.202 (multiplicity 1)
Ca 0.000 0.000 0.518 (multiplicity 1)
In 0.500 0.500 0.800 (multiplicity 1)

[3]
TlSn3Cl6 | GGA-PBE | optimized geometry

The crystal system is monoclinic. The density comes out at 4.177 g cm⁻³. As for the volume: 614.8 Å³/cell. The raw total energy comes out at -3.401 eV/atom. The uncorrected formation energy comes out at -8.560 eV/f.u.

a b c (Å): 11.963 4.187 12.454
angles (deg): 90.00 99.71 90.00
Space group P2_1/m (No. 11)
Asymmetric unit:
Tl 0.020 0.250 0.182 (multiplicity 2)
Sn 0.170 0.250 0.556 (multiplicity 2)
Sn 0.322 0.750 0.019 (multiplicity 2)
Sn 0.368 0.250 0.384 (multiplicity 2)
Cl 0.059 0.750 0.403 (multiplicity 2)
Cl 0.144 0.250 0.963 (multiplicity 2)
Cl 0.214 0.750 0.703 (multiplicity 2)
Cl 0.245 0.750 0.206 (multiplicity 2)
Cl 0.456 0.250 0.115 (multiplicity 2)
Cl 0.458 0.250 0.600 (multiplicity 2)

[4]
Tb3Sm4Mg | GGA-PBE | optimized geometry

The calculation puts the formation energy at 8 meV per atom. The crystal system is orthorhombic. The density comes out at 7.208 g cm⁻³. As for the volume: 508.0 Å³/cell. The raw total energy comes out at -4.288 eV/atom. As for the polymorph energy (0 for the lowest one): 0.39 kcal/mol of atoms.

a b c (Å): 11.506 6.214 7.105
angles (deg): 90.00 90.00 90.00
Space group Pmn2_1 (No. 31)
Asymmetric unit:
Tb 0.000 0.169 0.000 (multiplicity 2)
Tb 0.250 0.500 0.499 (multiplicity 4)
Sm 0.000 0.165 0.498 (multiplicity 2)
Sm 0.000 0.676 0.248 (multiplicity 2)
Sm 0.246 0.986 0.749 (multiplicity 4)
Mg 0.000 0.656 0.749 (multiplicity 2)